First-principles (PBE with a Hubbard U) data for a relaxed Li3Co3SbO8 crystal, as listed in Alexandria via LeMat-Bulk.

V (Å³ per atom): 10.519
Energy relative to the lowest polymorph listed for this composition (meV/atom): 26

```
30
Lattice="-5.320 2.330 1.184 0.452 -5.798 -0.859 0.912 4.357 11.033" Properties=species:S:1:pos:R:3 pbc="T T T"
Li -2.476 1.446 8.879
Li -1.479 -0.558 2.480
Li -4.131 4.294 9.178
Li 0.176 -3.406 2.180
Li -3.472 2.220 3.869
Li -0.484 -1.331 7.489
Co -4.182 3.787 11.788
Co -1.748 5.522 11.625
Co -2.434 -1.734 0.163
Co -1.752 -2.455 5.250
Co -4.638 1.609 6.271
Co -4.412 -1.290 5.842
Sb -1.978 0.444 5.679
Sb -3.956 0.888 11.358
O -0.781 1.377 9.953
O -4.051 3.287 5.418
O 0.095 -2.399 5.940
O -3.174 -0.488 1.406
O -3.851 0.436 4.911
O -0.923 4.433 10.249
O -3.033 -3.544 1.109
O -0.105 0.452 6.447
O -1.589 2.147 4.672
O -3.347 2.582 10.392
O -0.608 -1.694 0.967
O -2.366 -1.258 6.686
O -3.686 5.620 10.687
O -1.141 -0.826 4.339
O -2.815 1.715 7.019
O -0.270 -4.732 0.672
```